# Tb6Tl2Os PBE optimized geometry
data_Tb6Tl2Os
_chemical_formula_sum 'Tb12 Tl4 Os2'
_cell_length_a 5.1226
_cell_length_b 7.2997
_cell_length_c 14.9128
_cell_angle_alpha 90.00
_cell_angle_beta 90.00
_cell_angle_gamma 90.00
_symmetry_space_group_name_H-M 'I m m m'
_symmetry_Int_Tables_number 71
_symmetry_space_group_name_Hall '-I 2 2'
loop_
_atom_site_label
_atom_site_fract_x
_atom_site_fract_y
_atom_site_fract_z
_atom_site_occupancy
Tb1 0.0000 0.2220 0.0000 1
Tb2 0.0000 0.2616 0.3464 1
Tl1 0.0000 0.5000 0.1660 1
Os1 0.0000 0.5000 0.5000 1
# total moment = 0.00 μB per formula unit
# raw total energy = -4.98 eV/atom
# Fermi-level density of states = 17.29 states/eV per cell

# LaPmPrTl PBE optimized geometry
data_LaPmPrTl
_chemical_formula_sum 'La4 Pm4 Pr4 Tl4'
_cell_length_a 8.0356
_cell_length_b 8.0356
_cell_length_c 8.0356
_cell_angle_alpha 90.00
_cell_angle_beta 90.00
_cell_angle_gamma 90.00
_symmetry_space_group_name_H-M 'F -4 3 m'
_symmetry_Int_Tables_number 216
_symmetry_space_group_name_Hall 'F -4 2 3'
loop_
_atom_site_label
_atom_site_fract_x
_atom_site_fract_y
_atom_site_fract_z
_atom_site_occupancy
La1 0.0000 0.0000 0.0000 1
Pm1 0.2500 0.2500 0.7500 1
Pr1 0.0000 0.0000 0.5000 1
Tl1 0.2500 0.2500 0.2500 1
# total moment = 1.46 μB per formula unit
# raw total energy = -4.28 eV/atom
# Fermi-level density of states = 22.34 states/eV per cell

# CdNiCl6 PBE optimized geometry
data_CdNiCl6
_chemical_formula_sum 'Cd3 Ni3 Cl18'
_cell_length_a 6.1588
_cell_length_b 6.1588
_cell_length_c 16.6393
_cell_angle_alpha 90.00
_cell_angle_beta 90.00
_cell_angle_gamma 120.00
_symmetry_space_group_name_H-M 'R -3'
_symmetry_Int_Tables_number 148
_symmetry_space_group_name_Hall '-R 3'
loop_
_atom_site_label
_atom_site_fract_x
_atom_site_fract_y
_atom_site_fract_z
_atom_site_occupancy
Cd1 0.0000 0.0000 0.0000 1
Ni1 0.0000 0.0000 0.5000 1
Cl1 0.0166 0.7084 0.4226 1
# formation energy (no corrections) = -514 meV per atom
# total moment = 0.00 μB per formula unit

# SrGa2SnB PBE optimized geometry
data_SrGa2SnB
_chemical_formula_sum 'Sr1 Ga2 Sn1 B1'
_cell_length_a 5.8002
_cell_length_b 5.8002
_cell_length_c 6.0643
_cell_angle_alpha 90.00
_cell_angle_beta 90.00
_cell_angle_gamma 90.00
_symmetry_space_group_name_H-M 'P 4/m m m'
_symmetry_Int_Tables_number 123
_symmetry_space_group_name_Hall '-P 4 2'
loop_
_atom_site_label
_atom_site_fract_x
_atom_site_fract_y
_atom_site_fract_z
_atom_site_occupancy
Sr1 0.0000 0.0000 0.0000 1
Ga1 0.0000 0.5000 0.0000 1
Sn1 0.0000 0.0000 0.5000 1
B1 0.5000 0.5000 0.5000 1
# total moment = 0.00 μB per formula unit
# raw total energy = -1.91 eV/atom
# Fermi-level density of states = 3.30 states/eV per cell

# HfZr4Tl5 PBE optimized geometry
data_HfZr4Tl5
_chemical_formula_sum 'Hf2 Zr8 Tl10'
_cell_length_a 6.5612
_cell_length_b 10.8013
_cell_length_c 7.4896
_cell_angle_alpha 90.00
_cell_angle_beta 90.00
_cell_angle_gamma 90.00
_symmetry_space_group_name_H-M 'P m m n'
_symmetry_Int_Tables_number 59
loop_
_symmetry_equiv_pos_as_xyz
'x,y,z'
'-x,-y,-z'
'-x+1/2,-y+1/2,z'
'x+1/2,y+1/2,-z'
'x+1/2,-y,-z'
'-x+1/2,y,z'
'-x,y+1/2,-z'
'x,-y+1/2,z'
loop_
_atom_site_label
_atom_site_fract_x
_atom_site_fract_y
_atom_site_fract_z
_atom_site_occupancy
Hf1 0.2500 0.2500 0.1862 1
Zr1 0.0169 0.2500 0.8481 1
Zr2 0.2500 0.1092 0.5220 1
Tl1 0.0146 0.5362 0.8067 1
Tl2 0.2500 0.7500 0.4952 1
# total moment = 0.00 μB per formula unit
# raw total energy = -5.27 eV/atom
# Fermi-level density of states = 21.45 states/eV per cell

# Al2Cr2Cu PBE optimized geometry
data_Al2Cr2Cu
_chemical_formula_sum 'Al4 Cr4 Cu2'
_cell_length_a 6.6883
_cell_length_b 6.6883
_cell_length_c 3.1720
_cell_angle_alpha 90.00
_cell_angle_beta 90.00
_cell_angle_gamma 90.00
_symmetry_space_group_name_H-M 'P 4/m b m'
_symmetry_Int_Tables_number 127
_symmetry_space_group_name_Hall '-P 4 2ab'
loop_
_atom_site_label
_atom_site_fract_x
_atom_site_fract_y
_atom_site_fract_z
_atom_site_occupancy
Al1 0.1383 0.3617 0.0000 1
Cr1 0.1610 0.6610 0.5000 1
Cu1 0.0000 0.0000 0.0000 1
# total moment = 4.72 μB per formula unit
# raw total energy = -5.96 eV/atom
# Fermi-level density of states = 6.35 states/eV per cell